Density functional theory data (PBE+U) for a relaxed structure of TiMnTlF6.

Computed properties:
Volume in Å³ per atom: 18.18
DFT total energy in eV per atom: -5.990
Total moment in μB/f.u.: 6.00
Fermi-level density of states in states/eV per atom: 0.69

Lattice parameters (Å, degrees): 5.653 5.653 11.825 90.00 90.00 120.00
Site moments in Bohr magnetons follow the coordinates.
Sites, in units of the cell vectors:
Ti  0.667  0.333  0.250  0.93
Ti  0.333  0.667  0.750  0.93
Mn  0.333  0.667  0.250  4.69
Mn  0.667  0.333  0.750  4.69
Tl  0.000  0.000  0.000  0.00
Tl  0.000  0.000  0.500  0.00
F  0.628  0.609  0.157  0.02
F  0.981  0.372  0.157  0.02
F  0.372  0.981  0.657  0.02
F  0.019  0.628  0.843  0.02
F  0.391  0.372  0.343  0.02
F  0.981  0.609  0.343  0.02
F  0.609  0.981  0.843  0.02
F  0.628  0.019  0.343  0.02
F  0.019  0.391  0.657  0.02
F  0.391  0.019  0.157  0.02
F  0.609  0.628  0.657  0.02
F  0.372  0.391  0.843  0.02